No. 1
Compound: BeNi2P
Source: Alexandria via LeMat-Bulk
Functional: PBE
Structure: optimized geometry

Cell lengths 3.890, 3.890, 3.890 Å; angles 60.00, 60.00, 60.00 degrees
Sites, in units of the cell vectors:
P 0.750 0.750 0.750
Be 0.500 0.500 0.500
Ni 0.000 0.000 0.000
Ni 0.250 0.250 0.250

spin magnetization	0.00	μB/f.u.
crystal system	cubic
formation energy from the elements	-60	meV/atom

---

No. 2
Compound: Y2Co3Sn5
Source: Alexandria via LeMat-Bulk
Functional: PBE
Structure: optimized geometry

Cell lengths 4.309, 7.108, 13.208 Å; angles 90.00, 99.39, 90.00 degrees
Sites, in units of the cell vectors:
Co 0.394 0.009 0.788
Co 0.050 0.972 0.099
Sn 0.594 0.877 0.187
Sn 0.296 0.941 0.592
Sn 0.406 0.377 0.813
Co 0.222 0.227 0.445
Y 0.171 0.735 0.342
Sn 0.048 0.586 0.095
Co 0.778 0.727 0.555
Sn 0.704 0.441 0.408
Y 0.525 0.252 0.051
Sn 0.712 0.016 0.424
Sn 0.121 0.249 0.242
Y 0.829 0.235 0.658
Sn 0.879 0.749 0.758
Sn 0.288 0.516 0.576
Sn 0.952 0.086 0.905
Y 0.475 0.752 0.949
Co 0.606 0.509 0.212
Co 0.950 0.472 0.901

spin magnetization	0.00	μB/f.u.
crystal system	orthorhombic
formation energy from the elements	-392	meV/atom

---

No. 3
Compound: LiCrAu
Source: Alexandria via LeMat-Bulk
Functional: PBE
Structure: optimized geometry

Cell lengths 4.390, 4.390, 4.390 Å; angles 60.00, 60.00, 60.00 degrees
Sites, in units of the cell vectors:
Li 0.500 0.500 0.500
Au 0.750 0.750 0.750
Cr 0.000 0.000 0.000

spin magnetization	4.33	μB/f.u.
crystal system	cubic
formation energy from the elements	253	meV/atom

---

Which of these has the lowest formation energy from the elements? Y2Co3Sn5

---

Among the records above, which one has the lowest formation energy from the elements? Y2Co3Sn5